[1]
A plane-wave DFT calculation with PBE was carried out for an optimized crystal structure of SrP2PtPb.

Its space group is P4/mmm. The calculation puts the formation energy at 1.071 eV per atom. The value obtained for the mass density is 5.91 Mg/m³. The volume is 31.03 A^3/atom.

Cell lengths 5.368, 5.368, 5.385 Å; angles 90.00, 90.00, 90.00 degrees
Atoms (fractional coordinates):
1 Sr 0.000 0.000 0.000
2 P 0.000 0.500 0.000
3 P 0.500 0.000 0.000
4 Pt 0.000 0.000 0.500
5 Pb 0.500 0.500 0.500


[2]
A plane-wave DFT calculation with PBE was carried out for an optimized crystal structure of K2BeC.

Its space group is Fm-3m. The calculation puts the formation energy at 1.797 eV per atom. The value obtained for the mass density is 1.51 Mg/m³. The volume is 27.32 A^3/atom.

Cell lengths 5.367, 5.367, 5.367 Å; angles 60.00, 60.00, 60.00 degrees
Atoms (fractional coordinates):
1 K 0.250 0.250 0.250
2 K 0.750 0.750 0.750
3 Be 0.000 0.000 0.000
4 C 0.500 0.500 0.500


[3]
A plane-wave DFT calculation with PBE was carried out for an optimized crystal structure of Cs2KHgPd.

Its space group is P4/mmm. The calculation puts the formation energy at 0.035 eV per atom. The value obtained for the mass density is 3.56 Mg/m³. The volume is 57.01 A^3/atom.

Cell lengths 6.736, 6.736, 6.283 Å; angles 90.00, 90.00, 90.00 degrees
Atoms (fractional coordinates):
1 Cs 0.000 0.500 0.000
2 Cs 0.500 0.000 0.000
3 K 0.000 0.000 0.500
4 Hg 0.500 0.500 0.500
5 Pd 0.000 0.000 0.000


[4]
A plane-wave DFT calculation with PBE was carried out for an optimized crystal structure of MgCu2PF.

Its space group is P4/mmm. The value obtained for the mass density is 4.65 Mg/m³. The volume is 14.37 A^3/atom. The calculation puts the total energy at -3.740 eV/atom.

Cell lengths 4.280, 4.280, 3.921 Å; angles 90.00, 90.00, 90.00 degrees
Atoms (fractional coordinates):
1 Mg 0.000 0.000 0.000
2 Cu 0.000 0.500 0.500
3 Cu 0.500 0.000 0.500
4 P 0.500 0.500 0.000
5 F 0.000 0.000 0.500


[5]
A plane-wave DFT calculation with PBE was carried out for an optimized crystal structure of Sr2ZrBr.

Its space group is Fm-3m. The value obtained for the mass density is 3.88 Mg/m³. The volume is 37.07 A^3/atom. The calculation puts the total energy at -3.180 eV/atom.

Cell lengths 5.941, 5.941, 5.941 Å; angles 60.00, 60.00, 60.00 degrees
Atoms (fractional coordinates):
1 Sr 0.250 0.250 0.250
2 Sr 0.750 0.750 0.750
3 Zr 0.000 0.000 0.000
4 Br 0.500 0.500 0.500


[6]
A plane-wave DFT calculation with PBE was carried out for an optimized crystal structure of Ba4InAgO.

Its space group is Cmcm. The value obtained for the mass density is 4.86 Mg/m³. The volume is 38.45 A^3/atom. The calculation puts the total energy at -3.455 eV/atom.

Cell lengths 10.094, 10.094, 7.652 Å; angles 90.00, 90.00, 136.34 degrees
Atoms (fractional coordinates):
1 Ba 0.000 0.500 0.000
2 Ba 0.000 0.500 0.500
3 Ba 0.065 0.935 0.750
4 Ba 0.416 0.584 0.750
5 Ba 0.500 0.000 0.000
6 Ba 0.500 0.000 0.500
7 Ba 0.584 0.416 0.250
8 Ba 0.935 0.065 0.250
9 In 0.387 0.613 0.250
10 In 0.613 0.387 0.750
11 Ag 0.120 0.880 0.250
12 Ag 0.880 0.120 0.750
13 O 0.275 0.725 0.750
14 O 0.725 0.275 0.250